Entry from the Alexandria database: crystalline Pm2ZnP4Ir3 at its relaxed geometry (PBE). Values from VASP.

Results
M_tot = 0.00 μB/cell
Symmetry = P-4m2 (115)
Volume = 17.0 Å³ per atom
ΔE_f = -889 meV/atom

```
&SYSTEM
  ibrav = 0, nat = 10, ntyp = 4
/
ATOMIC_SPECIES
Pm 145.00 Pm.upf
Zn 65.41 Zn.upf
P 30.97 P.upf
Ir 192.22 Ir.upf
ATOMIC_POSITIONS angstrom
Pm 0.446 -0.418 3.058
Pm 3.240 -5.360 4.253
Zn 0.691 -3.339 4.490
P -2.305 -0.899 1.669
P 0.000 0.000 0.000
P 2.842 -2.370 5.314
P 0.844 -3.409 1.997
Ir 2.995 -2.439 2.821
Ir 4.336 -3.587 6.721
Ir -0.650 -2.192 0.590
CELL_PARAMETERS angstrom
-1.984 1.505 3.408
-2.625 -3.304 -0.069
5.990 -4.879 5.642
```